{"formula": "Tb2Pm2Ho2Mg", "functional": "GGA-PBE", "state": "relaxed", "m_tot_mub_per_fu": 0.00, "n_ef_per_ev_cell": 8.11, "final_energy_ev_per_atom": -4.127, "crystal_system": "monoclinic", "delta_e_f_ev_per_atom": 0.09, "lattice_angstrom": [[6.043, -1.826, 0.000], [6.043, 1.826, 0.000], [-5.462, 0.000, 10.191]], "species": ["Tb", "Tb", "Pm", "Pm", "Ho", "Ho", "Mg"], "frac_coords": [[0.248, 0.248, 0.130], [0.752, 0.752, 0.870], [0.030, 0.030, 0.246], [0.970, 0.970, 0.754], [0.179, 0.179, 0.585], [0.821, 0.821, 0.415], [0.500, 0.500, 0.000]]}